[1]
# GGA-PBE ZnAsS2, optimized geometry
data_ZnAsS2
_cell_length_a 5.262
_cell_length_b 5.262
_cell_length_c 13.093
_cell_angle_alpha 90.00
_cell_angle_beta 90.00
_cell_angle_gamma 90.00
_symmetry_space_group_name_H-M 'I -4 2 d'
_symmetry_Int_Tables_number 122
_symmetry_space_group_name_Hall 'I -4 2bw'
loop_
_atom_site_label
_atom_site_type_symbol
_atom_site_fract_x
_atom_site_fract_y
_atom_site_fract_z
Zn1 Zn 0.000 0.000 0.000
As1 As 0.000 0.000 0.500
S1 S 0.233 0.250 0.125
# ΔE_f (raw)	-0.18	eV/f.u.
# calculated volume	22.7	Å³ per atom
# energy	-3.589	eV/atom
# excess energy over the best structure of this formula in the dataset	0	meV/atom

***

[2]
# GGA-PBE ZnAsS2, optimized geometry
data_ZnAsS2
_cell_length_a 3.6248
_cell_length_b 3.6248
_cell_length_c 22.0245
_cell_angle_alpha 90.00
_cell_angle_beta 90.00
_cell_angle_gamma 120.00
_symmetry_space_group_name_H-M 'R -3 m'
_symmetry_Int_Tables_number 166
_symmetry_space_group_name_Hall '-R 3 2"'
loop_
_atom_site_label
_atom_site_type_symbol
_atom_site_fract_x
_atom_site_fract_y
_atom_site_fract_z
Zn1 Zn 0.0000 0.0000 0.0000
As1 As 0.0000 0.0000 0.5000
S1 S 0.0000 0.0000 0.3934
# ΔE_f (raw)	0.07	eV/f.u.
# calculated volume	20.9	Å³ per atom
# energy	-3.528	eV/atom
# excess energy over the best structure of this formula in the dataset	61	meV/atom

***

[3]
# GGA-PBE ZnAs3S, optimized geometry
data_ZnAs3S
_cell_length_a 4.829
_cell_length_b 4.829
_cell_length_c 4.829
_cell_angle_alpha 90.00
_cell_angle_beta 90.00
_cell_angle_gamma 90.00
_symmetry_space_group_name_H-M 'P m -3 m'
_symmetry_Int_Tables_number 221
_symmetry_space_group_name_Hall '-P 4 2 3'
loop_
_atom_site_label
_atom_site_type_symbol
_atom_site_fract_x
_atom_site_fract_y
_atom_site_fract_z
Zn1 Zn 0.000 0.000 0.000
As1 As 0.000 0.500 0.500
S1 S 0.500 0.500 0.500
# ΔE_f (raw)	3.92	eV/f.u.
# calculated volume	22.5	Å³ per atom
# energy	-3.087	eV/atom
# excess energy over the best structure of this formula in the dataset	0	meV/atom

***

[4]
# GGA-PBE Zn2AsS, optimized geometry
data_Zn2AsS
_cell_length_a 6.489
_cell_length_b 6.489
_cell_length_c 6.489
_cell_angle_alpha 90.00
_cell_angle_beta 90.00
_cell_angle_gamma 90.00
_symmetry_space_group_name_H-M 'F m -3 m'
_symmetry_Int_Tables_number 225
_symmetry_space_group_name_Hall '-F 4 2 3'
loop_
_atom_site_label
_atom_site_type_symbol
_atom_site_fract_x
_atom_site_fract_y
_atom_site_fract_z
Zn1 Zn 0.250 0.250 0.250
As1 As 0.000 0.000 0.000
S1 S 0.000 0.000 0.500
# ΔE_f (raw)	1.22	eV/f.u.
# calculated volume	17.1	Å³ per atom
# energy	-2.526	eV/atom

***

[5]
# GGA-PBE ZnAsS2, optimized geometry
data_ZnAsS2
_cell_length_a 6.457
_cell_length_b 6.457
_cell_length_c 6.457
_cell_angle_alpha 90.00
_cell_angle_beta 90.00
_cell_angle_gamma 90.00
_symmetry_space_group_name_H-M 'F m -3 m'
_symmetry_Int_Tables_number 225
_symmetry_space_group_name_Hall '-F 4 2 3'
loop_
_atom_site_label
_atom_site_type_symbol
_atom_site_fract_x
_atom_site_fract_y
_atom_site_fract_z
Zn1 Zn 0.000 0.000 0.000
As1 As 0.000 0.000 0.500
S1 S 0.250 0.250 0.250
# ΔE_f (raw)	1.24	eV/f.u.
# calculated volume	16.8	Å³ per atom
# energy	-3.235	eV/atom
# excess energy over the best structure of this formula in the dataset	354	meV/atom

***

[6]
# GGA-PBE Zn2AsS2, optimized geometry
data_Zn2AsS2
_cell_length_a 3.823
_cell_length_b 3.823
_cell_length_c 17.612
_cell_angle_alpha 90.00
_cell_angle_beta 90.00
_cell_angle_gamma 90.00
_symmetry_space_group_name_H-M 'I 4/m m m'
_symmetry_Int_Tables_number 139
_symmetry_space_group_name_Hall '-I 4 2'
loop_
_atom_site_label
_atom_site_type_symbol
_atom_site_fract_x
_atom_site_fract_y
_atom_site_fract_z
Zn1 Zn 0.000 0.500 0.250
As1 As 0.000 0.000 0.000
S1 S 0.000 0.000 0.331
# ΔE_f (raw)	0.52	eV/f.u.
# calculated volume	25.7	Å³ per atom
# energy	-2.987	eV/atom
# excess energy over the best structure of this formula in the dataset	124	meV/atom

***

[7]
# GGA-PBE ZnAs3S, optimized geometry
data_ZnAs3S
_cell_length_a 4.806
_cell_length_b 4.806
_cell_length_c 4.806
_cell_angle_alpha 90.00
_cell_angle_beta 90.00
_cell_angle_gamma 90.00
_symmetry_space_group_name_H-M 'P m -3 m'
_symmetry_Int_Tables_number 221
_symmetry_space_group_name_Hall '-P 4 2 3'
loop_
_atom_site_label
_atom_site_type_symbol
_atom_site_fract_x
_atom_site_fract_y
_atom_site_fract_z
Zn1 Zn 0.000 0.000 0.000
As1 As 0.000 0.000 0.500
S1 S 0.500 0.500 0.500
# ΔE_f (raw)	4.73	eV/f.u.
# calculated volume	22.2	Å³ per atom
# energy	-2.924	eV/atom
# excess energy over the best structure of this formula in the dataset	163	meV/atom

***

[8]
# GGA-PBE Zn2AsS2, optimized geometry
data_Zn2AsS2
_cell_length_a 7.458
_cell_length_b 7.458
_cell_length_c 3.622
_cell_angle_alpha 90.00
_cell_angle_beta 90.00
_cell_angle_gamma 90.00
_symmetry_space_group_name_H-M 'P 4/m b m'
_symmetry_Int_Tables_number 127
_symmetry_space_group_name_Hall '-P 4 2ab'
loop_
_atom_site_label
_atom_site_type_symbol
_atom_site_fract_x
_atom_site_fract_y
_atom_site_fract_z
Zn1 Zn 0.113 0.387 0.000
As1 As 0.000 0.000 0.500
S1 S 0.245 0.745 0.500
# ΔE_f (raw)	-0.10	eV/f.u.
# calculated volume	20.1	Å³ per atom
# energy	-3.111	eV/atom
# excess energy over the best structure of this formula in the dataset	0	meV/atom

***

The records above yield Fermi-level density of states values of 5.021; 5.216; 3.726; 10.405; 7.445; 2.199; 5.328; 4.216 states/eV/cell, respectively.